This record from Alexandria describes a relaxed PmPrErLu crystal. The functional is GGA-PBE.

Unit cell a=8.0687 b=8.0687 c=8.0687 alpha=90.00 beta=90.00 gamma=90.00
Space group F-43m (No. 216)
Asymmetric unit:
1 Pm 0.0000 0.0000 0.0000 [4 per cell]
2 Pr 0.0000 0.0000 0.5000 [4 per cell]
3 Er 0.2500 0.2500 0.2500 [4 per cell]
4 Lu 0.2500 0.2500 0.7500 [4 per cell]

Results
- Total magnetic moment: 0.00 μB/f.u.
- Formation enthalpy at 0 K: 8.9 kJ per mole of atoms
- DFT total energy: -0.3352 Ry per atom

This record from Alexandria describes a relaxed La5Ge2Te2 crystal. The functional is GGA-PBE.

Unit cell a=16.0975 b=8.3130 c=8.3779 alpha=90.00 beta=90.00 gamma=90.00
Space group Cmce (No. 64)
Asymmetric unit:
1 La 0.0000 0.0000 0.0000 [4 per cell]
2 La 0.1271 0.1646 0.3365 [16 per cell]
3 Ge 0.0000 0.1392 0.6379 [8 per cell]
4 Te 0.2029 0.0000 0.0000 [8 per cell]

Results
- Total magnetic moment: 0.00 μB/f.u.
- Formation energy from raw total energies: -1.13 eV per atom
- DFT total energy: -0.4112 Ry per atom

This record from Alexandria describes a relaxed TbLuMgMn crystal. The functional is GGA-PBE.

Unit cell a=7.2603 b=7.2603 c=7.2603 alpha=90.00 beta=90.00 gamma=90.00
Space group F-43m (No. 216)
Asymmetric unit:
1 Tb 0.0000 0.0000 0.0000 [4 per cell]
2 Lu 0.0000 0.0000 0.5000 [4 per cell]
3 Mg 0.2500 0.2500 0.7500 [4 per cell]
4 Mn 0.2500 0.2500 0.2500 [4 per cell]

Results
- Total magnetic moment: 3.16 μB/f.u.
- Formation enthalpy at 0 K: 9.3 kJ per mole of atoms
- DFT total energy: -0.3588 Ry per atom

This record from Alexandria describes a relaxed ThZrBe crystal. The functional is GGA-PBE.

Unit cell a=5.5743 b=9.4036 c=19.5424 alpha=90.00 beta=90.00 gamma=90.00
Space group Fddd (No. 70, origin choice 2)
Asymmetric unit:
1 Th 0.1250 0.2958 0.1250 [16 per cell]
2 Zr 0.1250 0.1250 0.5444 [16 per cell]
3 Be 0.1250 0.1250 0.0007 [16 per cell]

Results
- Total magnetic moment: 0.00 μB/f.u.
- Formation enthalpy at 0 K: 6.4 kJ per mole of atoms
- DFT total energy: -0.4776 Ry per atom

no.,mass density (Mg/m³)
1,7.94
2,6.49
3,7.17
4,8.62